No. 1
# NaSr2N

A relaxed structure of NaSr2N (PBE, the Alexandria database).

Cell and atoms, written as extended XYZ:
```
4
Lattice="3.8513 0.0000 0.0000 1.9256 3.3353 0.0000 1.9256 1.1118 10.0019" Properties=species:S:1:pos:R:3 pbc="T T T"
Sr 1.9256 1.1118 8.6282
Sr 1.9256 1.1118 1.3775
N 3.8513 2.2235 0.0048
Na 3.8513 2.2235 4.9924
```

Properties
DFT total energy = -3.659 eV/atom

No. 2
# NaSr8N4

A relaxed structure of NaSr8N4 (PBE, the Alexandria database).

Cell and atoms, written as extended XYZ:
```
13
Lattice="-0.1972 -2.3788 3.0400 1.2075 -8.9268 -4.4499 9.6612 -0.4667 2.7185" Properties=species:S:1:pos:R:3 pbc="T T T"
N 5.8815 -8.4086 -1.2841
N 8.4142 -6.7451 2.6389
N 2.2574 -5.0271 -1.3302
N 4.7900 -3.3637 2.5928
Sr 9.5817 -4.4622 2.0439
Sr 1.0898 -7.3100 -0.7353
Sr 3.1522 -5.1101 1.1200
Sr 3.4592 -1.2863 1.6749
Sr 4.3402 -8.7692 0.7908
Sr 7.2123 -10.4859 -0.3663
Sr 7.5194 -6.6622 0.1887
Sr 6.3313 -3.0030 0.5178
Na 0.0000 0.0000 0.0000
```

Properties
relative energy among the computed polymorphs = 0.000 eV/atom

No. 3
# NaSr2N

A relaxed structure of NaSr2N (PBE, the Alexandria database).

Cell and atoms, written as extended XYZ:
```
4
Lattice="3.7481 -0.0118 0.0000 -1.8623 3.2527 0.0000 0.0000 0.0000 10.1967" Properties=species:S:1:pos:R:3 pbc="T T T"
Sr 0.7479 1.7339 3.6260
Sr 0.7479 1.7339 6.5707
N -1.1226 2.8223 5.0983
Na 2.6469 0.6290 0.0000
```

Properties
DFT total energy = -3.517 eV/atom

No. 4
# Na3Sr4N

A relaxed structure of Na3Sr4N (PBE, the Alexandria database).

Cell and atoms, written as extended XYZ:
```
8
Lattice="-5.4727 5.9051 -1.0785 -0.6965 -7.1708 -3.7522 0.9551 -4.7244 6.5385" Properties=species:S:1:pos:R:3 pbc="T T T"
Na -2.9316 -2.0027 4.2686
Na -3.8332 1.0018 4.6328
Na -3.7492 -3.6039 -0.7882
Sr -0.4610 -6.4835 -0.8399
Sr -0.6751 -7.6154 2.8574
Sr -2.9748 0.0287 0.3985
Sr -0.7572 -3.8377 1.9725
N -5.3307 -0.0458 0.2992
```

Properties
relative energy among the computed polymorphs = 0.009 eV/atom